Entry 1:
Compound: Ca3MnO4
Source: the Alexandria database
Functional: PBE with a Hubbard U
Structure: optimized geometry

Calculated values
Symmetry: Cmmm, No. 65
ΔE to the lowest computed polymorph: 3.1 meV/atom
Total DFT energy (no corrections): -6.772 eV per atom

Lattice parameters (Å, degrees): 6.7027 9.5136 3.3675 90.00 90.00 90.00
Last column: nearest neighbours and their distance in Å.
Element x y z (fractional)
Ca1 0.0000 0.0000 0.0000  6 O 2.40-2.41
Ca2 0.2500 0.2500 0.5000  6 O 2.38
Ca3 0.2500 0.7500 0.5000  6 O 2.38
Ca4 0.5000 0.5000 0.0000  6 O 2.40-2.41
Ca5 0.7500 0.2500 0.5000  6 O 2.38
Ca6 0.7500 0.7500 0.5000  6 O 2.38
Mn1 0.0000 0.5000 0.0000  6 O 2.34-2.36
Mn2 0.5000 0.0000 0.0000  6 O 2.34-2.36
O1 0.0000 0.2521 0.0000  1 Mn 2.36, 5 Ca 2.38-2.40
O2 0.0000 0.7479 0.0000  1 Mn 2.36, 5 Ca 2.38-2.40
O3 0.2423 0.5000 0.5000  2 Mn 2.34, 4 Ca 2.38-2.41
O4 0.2577 0.0000 0.5000  2 Mn 2.34, 4 Ca 2.38-2.41
O5 0.5000 0.2479 0.0000  1 Mn 2.36, 5 Ca 2.38-2.40
O6 0.5000 0.7521 0.0000  1 Mn 2.36, 5 Ca 2.38-2.40
O7 0.7423 0.0000 0.5000  2 Mn 2.34, 4 Ca 2.38-2.41
O8 0.7577 0.5000 0.5000  2 Mn 2.34, 4 Ca 2.38-2.41

Entry 2:
Compound: Ca5MnO6
Source: the Alexandria database
Functional: PBE with a Hubbard U
Structure: optimized geometry

Calculated values
Symmetry: C2/m, No. 12
Total DFT energy (no corrections): -6.661 eV per atom

Lattice parameters (Å, degrees): 5.8601 5.8601 5.8490 99.54 99.54 120.07
Last column: nearest neighbours and their distance in Å.
Element x y z (fractional)
Ca1 0.0000 0.0000 0.0000  6 O 2.38-2.44
Ca2 0.1671 0.8329 0.5000  6 O 2.39-2.40
Ca3 0.3353 0.6647 0.0000  6 O 2.38-2.44
Ca4 0.6647 0.3353 0.0000  6 O 2.38-2.44
Ca5 0.8329 0.1671 0.5000  6 O 2.39-2.40
Mn1 0.5000 0.5000 0.5000  6 O 2.34-2.36
O1 0.0900 0.4172 0.2521  1 Mn 2.36, 5 Ca 2.38-2.44
O2 0.2556 0.2556 0.7450  1 Mn 2.34, 5 Ca 2.38-2.44
O3 0.4172 0.0900 0.2521  1 Mn 2.36, 5 Ca 2.38-2.44
O4 0.5828 0.9100 0.7479  1 Mn 2.36, 5 Ca 2.38-2.44
O5 0.7444 0.7444 0.2550  1 Mn 2.34, 5 Ca 2.38-2.44
O6 0.9100 0.5828 0.7479  1 Mn 2.36, 5 Ca 2.38-2.44

Entry 3:
Compound: Ca3Mn2O7
Source: the Alexandria database
Functional: PBE with a Hubbard U
Structure: optimized geometry

Calculated values
Symmetry: P2_1, No. 4
ΔE to the lowest computed polymorph: 179.4 meV/atom
Total DFT energy (no corrections): -6.693 eV per atom

Lattice parameters (Å, degrees): 5.1155 10.4125 6.6525 90.00 112.51 90.00
Last column: nearest neighbours and their distance in Å.
Element x y z (fractional)
Ca1 0.1387 0.0000 0.3084  7 O 2.35-2.59
Ca2 0.1717 0.4589 0.3331  5 O 2.33-2.47
Ca3 0.3526 0.7391 0.6849  4 O 2.23-2.45
Ca4 0.6474 0.2391 0.3151  4 O 2.23-2.45
Ca5 0.8283 0.9589 0.6669  5 O 2.33-2.47
Ca6 0.8613 0.5000 0.6916  7 O 2.35-2.59
Mn1 0.0079 0.7342 0.0361  5 O 1.82-1.94
Mn2 0.4957 0.5098 0.0151  5 O 1.84-1.95
Mn3 0.5043 0.0098 0.9849  5 O 1.84-1.95
Mn4 0.9921 0.2342 0.9639  5 O 1.82-1.94
O1 0.1266 0.2360 0.2790  1 Mn 1.94
O2 0.1487 0.0731 0.9688  2 Mn 1.85-1.90
O3 0.1757 0.7686 0.3250  1 Mn 1.82
O4 0.2088 0.3913 0.0017  2 Mn 1.89-1.94
O5 0.3204 0.9622 0.6853  1 Mn 1.91
O6 0.3569 0.6701 0.0379  2 Mn 1.84-1.90
O7 0.3595 0.5158 0.6991  1 Mn 1.95
O8 0.6405 0.0158 0.3009  1 Mn 1.95
O9 0.6431 0.1701 0.9621  2 Mn 1.84-1.90
O10 0.6796 0.4622 0.3147  1 Mn 1.91
O11 0.7912 0.8913 0.9983  2 Mn 1.89-1.94
O12 0.8243 0.2686 0.6750  1 Mn 1.82
O13 0.8513 0.5731 0.0312  2 Mn 1.85-1.90
O14 0.8734 0.7360 0.7210  1 Mn 1.94